# 1
{
  "formula": "ReSiPCl2",
  "functional": "meta-GGA SCAN",
  "state": "single point on PBEsol structure",
  "lattice": [[4.439, 0.000, 0.000], [0.000, 4.439, 0.000], [0.000, 0.000, 4.924]],
  "species": ["Re", "Si", "P", "Cl", "Cl"],
  "frac_coords": [[0.000, 0.000, 0.000], [0.500, 0.500, 0.500], [0.500, 0.500, 0.000], [0.000, 0.500, 0.500], [0.500, 0.000, 0.500]],
  "raw_formation_energy_mev_per_atom": 1071
}

# 2
{
  "formula": "CaRe2Ir",
  "functional": "meta-GGA SCAN",
  "state": "single point on PBEsol structure",
  "lattice": [[3.024, 0.000, 0.000], [0.000, 4.427, 0.000], [0.000, 0.000, 4.776]],
  "species": ["Ca", "Re", "Re", "Ir"],
  "frac_coords": [[0.000, 0.000, 0.000], [0.000, 0.500, 0.500], [0.500, 0.000, 0.500], [0.500, 0.500, 0.000]],
  "polymorph_energy_ev_per_atom": 0.2718
}

# 3
{
  "formula": "TlRe3B",
  "functional": "meta-GGA SCAN",
  "state": "single point on PBEsol structure",
  "lattice": [[4.887, 0.000, 0.000], [0.000, 4.887, 0.000], [0.000, 0.000, 4.887]],
  "species": ["Tl", "Re", "Re", "Re", "B"],
  "frac_coords": [[0.000, 0.000, 0.000], [0.000, 0.000, 0.500], [0.000, 0.500, 0.000], [0.500, 0.000, 0.000], [0.500, 0.500, 0.500]],
  "dft_energy_ev_per_atom": -54.17
}

# 4
{
  "formula": "SrSb2Pb",
  "functional": "meta-GGA SCAN",
  "state": "single point on PBEsol structure",
  "lattice": [[5.876, 0.000, 0.000], [0.000, 5.876, 0.000], [0.000, 0.000, 3.448]],
  "species": ["Sr", "Sb", "Sb", "Pb"],
  "frac_coords": [[0.000, 0.000, 0.000], [0.000, 0.500, 0.495], [0.500, 0.000, 0.495], [0.500, 0.500, 0.053]],
  "raw_formation_energy_mev_per_atom": -424
}